# 1
Below is an optimized crystal structure of KBaH2Cl, with properties calculated at the PBE-GGA level.

Fermi-level density of states: 0.00 states/eV/atom
electronic total energy: -3.19 eV per atom
total moment: 0.00 μB per formula unit
space group: P4/mmm, No. 123

Lattice parameters (Å, degrees): 5.065 5.065 6.167 90.00 90.00 90.00
Atoms (fractional coordinates):
1 H 0.000 0.500 0.000
2 H 0.500 0.000 0.000
3 K 0.500 0.500 0.500
4 Ba 0.000 0.000 0.000
5 Cl 0.000 0.000 0.500

# 2
Below is an optimized crystal structure of Ba6HN2Cl3, with properties calculated at the PBE-GGA level.

Fermi-level density of states: 0.51 states/eV/atom
electronic total energy: -4.28 eV per atom
total moment: 0.00 μB per formula unit
space group: C2/m, No. 12

Lattice parameters (Å, degrees): 7.262 7.262 7.856 98.78 98.78 120.08
Atoms (fractional coordinates):
1 Ba 0.930 0.577 0.793
2 Ba 0.717 0.717 0.204
3 Ba 0.070 0.423 0.207
4 Ba 0.577 0.930 0.793
5 Ba 0.283 0.283 0.796
6 Ba 0.423 0.070 0.207
7 H 0.000 0.000 0.000
8 N 0.333 0.667 0.000
9 N 0.667 0.333 0.000
10 Cl 0.163 0.837 0.500
11 Cl 0.837 0.163 0.500
12 Cl 0.500 0.500 0.500

# 3
Below is an optimized crystal structure of Ba6H2N3Cl, with properties calculated at the PBE-GGA level.

electronic total energy: -4.49 eV per atom
total moment: 0.03 μB per formula unit
space group: C2/m, No. 12

Lattice parameters (Å, degrees): 4.107 8.673 9.630 107.41 102.31 90.00
Atoms (fractional coordinates):
1 Ba 0.321 0.937 0.642
2 Ba 0.659 0.603 0.319
3 Ba 0.679 0.063 0.358
4 Ba 0.989 0.281 0.978
5 Ba 0.011 0.719 0.022
6 Ba 0.341 0.397 0.681
7 H 0.831 0.668 0.663
8 H 0.169 0.332 0.337
9 N 0.500 0.500 0.000
10 N 0.833 0.171 0.665
11 N 0.167 0.829 0.335
12 Cl 0.500 0.000 0.000

# 4
Below is an optimized crystal structure of BaHClO, with properties calculated at the PBE-GGA level.

Fermi-level density of states: 0.00 states/eV/atom
electronic total energy: -5.11 eV per atom
total moment: 0.00 μB per formula unit
space group: Pnma, No. 62

Lattice parameters (Å, degrees): 4.336 7.422 10.278 90.00 90.00 90.00
Atoms (fractional coordinates):
1 Ba 0.250 0.201 0.899
2 Ba 0.750 0.299 0.399
3 Ba 0.750 0.799 0.101
4 Ba 0.250 0.701 0.601
5 Cl 0.750 0.036 0.673
6 Cl 0.250 0.464 0.173
7 Cl 0.250 0.964 0.327
8 Cl 0.750 0.536 0.827
9 H 0.250 0.246 0.594
10 H 0.750 0.254 0.094
11 H 0.750 0.754 0.406
12 H 0.250 0.746 0.906
13 O 0.250 0.355 0.541
14 O 0.750 0.145 0.041
15 O 0.750 0.645 0.459
16 O 0.250 0.855 0.959